[1]
BaAc2Pt2 after structural relaxation. Source: Alexandria, functional GGA-PBE.

a b c (Å): 4.5509 6.0925 13.8647
angles (deg): 90.00 90.00 90.00
With the nearest neighbours (Å) after each atom.
Space group Immm (No. 71)
Symmetry-distinct sites (fractional):
Ba  0.0000  0.0000  0.0000 x2  4 Pt 3.28
Ac  0.0000  0.0000  0.3124 x4  4 Pt 3.01-3.06
Pt  0.0000  0.5000  0.3300 x4  4 Ac 3.01-3.06, 2 Ba 3.28

Output
Crystal system: orthorhombic

[2]
BaAc5Pt6 after structural relaxation. Source: Alexandria, functional GGA-PBE.

a b c (Å): 7.6421 13.2329 7.6646
angles (deg): 90.00 109.42 90.00
With the nearest neighbours (Å) after each atom.
Space group C2/m (No. 12)
Symmetry-distinct sites (fractional):
Ba  0.0000  0.0000  0.0000 x2  6 Pt 3.23
Ac  0.0000  0.1658  0.5000 x4  6 Pt 3.03-3.13
Ac  0.0000  0.3333  0.0000 x4  6 Pt 3.11-3.12
Ac  0.0000  0.5000  0.5000 x2  6 Pt 3.02-3.13
Pt  0.2404  0.5000  0.2569 x4  5 Ac 3.02-3.12, 1 Ba 3.23
Pt  0.2419  0.3273  0.7433 x8  5 Ac 3.03-3.13, 1 Ba 3.23

Output
Crystal system: monoclinic

| no. | magnetization (μB/cell) | formation energy (eV per atom) |
| --- | --- | --- |
| 1 | 0.0 | -0.911 |
| 2 | 0.0 | -1.087 |